The following is a DFT calculation (PBE-GGA) of Co4SiGe2 after structural relaxation.

POSCAR file:
```
Co4SiGe2
1.0
4.102 0.000 0.000
0.000 4.102 0.000
2.051 2.051 6.061
Ge Co Si
2 4 1
direct
0.372 0.372 0.256
0.628 0.628 0.744
0.181 0.181 0.637
0.819 0.819 0.363
0.000 0.500 0.000
0.500 0.000 0.000
0.000 0.000 0.000
```

## Properties
* D(E_F): 1.440 states/eV per atom
* density: 6.7 Mg/m³
* raw formation energy: 0.4102 eV per atom
* raw total energy: -0.422 Ry/atom
* SG: No. 139

The following is a DFT calculation (PBE-GGA) of Sc2ReRu after structural relaxation.

POSCAR file:
```
Sc2ReRu
1.0
-3.391 -2.822 -2.749
2.700 -2.359 4.052
-2.243 -0.250 1.844
Re Ru Sc
1 1 2
direct
0.500 0.500 0.000
0.500 0.000 0.500
0.000 0.000 0.000
0.000 0.500 0.500
```

## Properties
* D(E_F): 0.734 states/eV per atom
* density: 9.3 Mg/m³
* raw total energy: -0.639 Ry/atom
* calculated formation energy: -91 meV per atom
* SG: No. 12

The following is a DFT calculation (PBE-GGA) of Rb3H2Cl after structural relaxation.

POSCAR file:
```
Rb3H2Cl
1.0
4.218 0.000 -1.277
-0.794 5.791 -2.622
0.035 -0.042 7.723
Rb H Cl
3 2 1
direct
0.818 0.318 0.136
0.182 0.682 0.864
0.500 0.000 0.500
0.833 0.833 0.166
0.167 0.167 0.834
0.500 0.500 0.500
```

## Properties
* D(E_F): 0.000 states/eV per atom
* density: 2.6 Mg/m³
* raw total energy: -0.195 Ry/atom
* SG: No. 71

The following is a DFT calculation (PBE-GGA) of Ga5PbI8 after structural relaxation.

POSCAR file:
```
Ga5PbI8
1.0
1.756 -8.191 -2.934
-0.405 1.694 8.703
-8.217 1.646 -2.923
Ga Pb I
5 1 8
direct
0.872 0.358 0.969
0.642 0.611 0.514
0.389 0.902 0.031
0.500 0.500 0.000
0.098 0.128 0.486
0.250 0.750 0.500
0.076 0.818 0.179
0.182 0.361 0.257
0.632 0.881 0.330
0.119 0.449 0.752
0.698 0.368 0.248
0.104 0.924 0.743
0.639 0.896 0.821
0.551 0.302 0.670
```

## Properties
* D(E_F): 0.354 states/eV per atom
* density: 5.0 Mg/m³
* raw formation energy: -0.3544 eV per atom
* raw total energy: -0.190 Ry/atom
* SG: No. 82

The following is a DFT calculation (PBE-GGA) of NbCIO2 after structural relaxation.

POSCAR file:
```
NbCIO2
1.0
3.894 0.000 0.000
0.000 3.894 0.000
0.000 0.000 6.065
I Nb C O
1 1 1 2
direct
0.000 0.000 0.500
0.000 0.000 0.000
0.500 0.500 0.500
0.000 0.500 0.000
0.500 0.000 0.000
```

## Properties
* D(E_F): 0.371 states/eV per atom
* density: 4.8 Mg/m³
* raw formation energy: -0.0880 eV per atom
* energy above the most stable polymorph in this dataset: 0.000 eV per atom
* raw total energy: -0.459 Ry/atom
* SG: No. 123

The following is a DFT calculation (PBE-GGA) of Ba4HgRh after structural relaxation.

POSCAR file:
```
Ba4HgRh
1.0
-0.236 2.894 7.307
-7.776 -2.662 0.803
0.000 -6.693 6.882
Ba Hg Rh
8 2 2
direct
0.326 0.007 0.210
0.535 0.493 0.790
0.674 0.993 0.790
0.465 0.507 0.210
0.783 0.851 0.327
0.109 0.649 0.673
0.217 0.149 0.673
0.891 0.351 0.327
0.204 0.750 0.000
0.796 0.250 0.000
0.000 0.000 0.500
0.500 0.500 0.500
```

## Properties
* D(E_F): 0.604 states/eV per atom
* density: 5.3 Mg/m³
* energy above the most stable polymorph in this dataset: 0.020 eV per atom
* raw total energy: -0.206 Ry/atom
* calculated formation energy: -239 meV per atom
* SG: No. 15

The following is a DFT calculation (PBE-GGA) of LaPm2Sb after structural relaxation.

POSCAR file:
```
LaPm2Sb
1.0
4.846 0.000 0.000
0.000 4.974 0.000
0.000 0.000 4.974
Sb La Pm
1 1 2
direct
0.500 0.500 0.500
0.500 0.000 0.000
0.000 0.000 0.500
0.000 0.500 0.000
```

## Properties
* D(E_F): 0.946 states/eV per atom
* density: 7.6 Mg/m³
* raw formation energy: -0.5696 eV per atom
* energy above the most stable polymorph in this dataset: 0.019 eV per atom
* raw total energy: -0.383 Ry/atom
* SG: No. 123

The following is a DFT calculation (PBE-GGA) of Li2ErTl4 after structural relaxation.

POSCAR file:
```
Li2ErTl4
1.0
1.450 -4.159 -4.370
1.798 -2.079 5.563
-6.138 0.901 0.094
Li Er Tl
2 1 4
direct
0.500 0.500 0.000
0.500 0.000 0.500
0.000 0.000 0.000
0.500 0.000 0.000
0.500 0.500 0.500
0.000 0.000 0.500
0.000 0.500 0.000
```

## Properties
* D(E_F): 0.487 states/eV per atom
* density: 9.0 Mg/m³
* raw total energy: -0.199 Ry/atom
* calculated formation energy: -161 meV per atom
* SG: No. 139

The following is a DFT calculation (PBE-GGA) of U2CrRh9 after structural relaxation.

POSCAR file:
```
U2CrRh9
1.0
3.969 0.000 0.000
0.000 3.969 0.000
0.000 0.000 11.797
U Cr Rh
2 1 9
direct
0.000 0.000 0.326
0.000 0.000 0.674
0.000 0.000 0.000
0.500 0.500 0.000
0.500 0.500 0.329
0.500 0.500 0.671
0.500 0.000 0.158
0.500 0.000 0.500
0.500 0.000 0.842
0.000 0.500 0.158
0.000 0.500 0.500
0.000 0.500 0.842
```

## Properties
* D(E_F): 1.035 states/eV per atom
* density: 13.0 Mg/m³
* raw total energy: -0.636 Ry/atom
* calculated formation energy: -454 meV per atom
* SG: No. 123

The following is a DFT calculation (PBE-GGA) of Sm2EuAl after structural relaxation.

POSCAR file:
```
Sm2EuAl
1.0
4.774 0.000 0.000
0.000 4.950 0.000
0.000 0.000 4.950
Eu Al Sm
1 1 2
direct
0.500 0.000 0.000
0.500 0.500 0.500
0.000 0.000 0.500
0.000 0.500 0.000
```

## Properties
* D(E_F): 1.163 states/eV per atom
* density: 6.8 Mg/m³
* energy above the most stable polymorph in this dataset: 0.027 eV per atom
* raw total energy: -0.439 Ry/atom
* calculated formation energy: -105 meV per atom
* SG: No. 123

The following is a DFT calculation (PBE-GGA) of NaTh4Hg5 after structural relaxation.

POSCAR file:
```
NaTh4Hg5
1.0
3.487 0.000 0.000
0.000 3.487 0.000
0.000 0.000 22.120
Na Th Hg
1 4 5
direct
0.000 0.000 0.000
0.000 0.000 0.193
0.000 0.000 0.398
0.000 0.000 0.602
0.000 0.000 0.807
0.500 0.500 0.092
0.500 0.500 0.295
0.500 0.500 0.500
0.500 0.500 0.705
0.500 0.500 0.908
```

## Properties
* D(E_F): 1.001 states/eV per atom
* density: 12.1 Mg/m³
* raw total energy: -0.254 Ry/atom
* calculated formation energy: -209 meV per atom
* SG: No. 123

The following is a DFT calculation (PBE-GGA) of TiMn2HOs after structural relaxation.

POSCAR file:
```
TiMn2HOs
1.0
3.672 0.000 0.000
0.000 3.672 0.000
0.000 0.000 4.111
H Mn Os Ti
1 2 1 1
direct
0.000 0.000 0.000
0.000 0.500 0.000
0.500 0.000 0.000
0.500 0.500 0.500
0.000 0.000 0.500
```

## Properties
* D(E_F): 0.698 states/eV per atom
* density: 10.5 Mg/m³
* raw total energy: -0.610 Ry/atom
* SG: No. 123

The following is a DFT calculation (PBE-GGA) of CsBe2GePt after structural relaxation.

POSCAR file:
```
CsBe2GePt
1.0
5.087 0.000 0.000
0.000 5.311 0.000
0.000 0.000 5.087
Cs Be Ge Pt
1 2 1 1
direct
0.000 0.000 0.000
0.000 0.000 0.500
0.500 0.000 0.000
0.500 0.500 0.500
0.000 0.500 0.000
```

## Properties
* D(E_F): 0.824 states/eV per atom
* density: 5.1 Mg/m³
* raw total energy: -0.107 Ry/atom
* calculated formation energy: 2334 meV per atom
* SG: No. 123